1.
Material: HoZnGaNi
Method: DFT, PBE
State: relaxed

Total DFT energy (no corrections), eV/atom: -4.153
Crystal system: orthorhombic
Total magnetization, μB per cell: 0.0
Energy relative to the lowest polymorph listed for this composition, kcal/mol of atoms: 0.00

```
data_HoZnGaNi
_chemical_formula_sum 'Ho4 Zn4 Ga4 Ni4'
_cell_length_a 4.1010
_cell_length_b 9.5582
_cell_length_c 6.9808
_cell_angle_alpha 90.00
_cell_angle_beta 90.00
_cell_angle_gamma 90.00
_space_group_name_H-M_alt 'C m c 21'
_space_group_IT_number 36
loop_
_space_group_symop_operation_xyz
'x,y,z'
'-x,-y,z+1/2'
'-x,y,z'
'x,-y,z+1/2'
'x+1/2,y+1/2,z'
'-x+1/2,-y+1/2,z+1/2'
'-x+1/2,y+1/2,z'
'x+1/2,-y+1/2,z+1/2'
loop_
_atom_site_label
_atom_site_fract_x
_atom_site_fract_y
_atom_site_fract_z
Ho1 0.0000 0.0673 0.0000
Zn1 0.0000 0.3555 0.1897
Ga1 0.0000 0.3516 0.8003
Ni1 0.0000 0.2171 0.4936
```

=====

2.
Material: Dy3HoTl2C2
Method: DFT, PBE
State: relaxed

Total DFT energy (no corrections), eV/atom: -5.565
Crystal system: trigonal
Total magnetization, μB per cell: 0.4

```
data_Dy3HoTl2C2
_chemical_formula_sum 'Dy3 Ho1 Tl2 C2'
_cell_length_a 3.6083
_cell_length_b 3.6083
_cell_length_c 16.2956
_cell_angle_alpha 90.00
_cell_angle_beta 90.00
_cell_angle_gamma 120.00
_space_group_name_H-M_alt 'P 3 m 1'
_space_group_IT_number 156
loop_
_space_group_symop_operation_xyz
'x,y,z'
'-y,x-y,z'
'-x+y,-x,z'
'-y,-x,z'
'-x+y,y,z'
'x,x-y,z'
loop_
_atom_site_label
_atom_site_fract_x
_atom_site_fract_y
_atom_site_fract_z
Dy1 0.0000 0.0000 0.0000
Dy2 0.0000 0.0000 0.3348
Dy3 0.3333 0.6667 0.5007
Ho1 0.3333 0.6667 0.8349
Tl1 0.0000 0.0000 0.6682
Tl2 0.3333 0.6667 0.1675
C1 0.6667 0.3333 0.4177
C2 0.6667 0.3333 0.9172
```

=====

3.
Material: YZnSn
Method: DFT, PBE
State: relaxed

Total DFT energy (no corrections), eV/atom: -4.100
Crystal system: cubic
Total magnetization, μB per cell: 0.0

```
data_YZnSn
_chemical_formula_sum 'Y4 Zn4 Sn4'
_cell_length_a 6.8089
_cell_length_b 6.8089
_cell_length_c 6.8089
_cell_angle_alpha 90.00
_cell_angle_beta 90.00
_cell_angle_gamma 90.00
_space_group_name_H-M_alt 'F -4 3 m'
_space_group_IT_number 216
_space_group_name_Hall 'F -4 2 3'
loop_
_atom_site_label
_atom_site_fract_x
_atom_site_fract_y
_atom_site_fract_z
Y1 0.0000 0.0000 0.0000
Zn1 0.0000 0.0000 0.5000
Sn1 0.2500 0.2500 0.2500
```

=====

4.
Material: LiTaCuSe3
Method: DFT, PBE
State: relaxed

Total DFT energy (no corrections), eV/atom: -5.298
Crystal system: orthorhombic
Total magnetization, μB per cell: 0.1

```
data_LiTaCuSe3
_chemical_formula_sum 'Li4 Ta4 Cu4 Se12'
_cell_length_a 3.5635
_cell_length_b 12.9494
_cell_length_c 9.7383
_cell_angle_alpha 90.00
_cell_angle_beta 90.00
_cell_angle_gamma 90.00
_space_group_name_H-M_alt 'C m c m'
_space_group_IT_number 63
_space_group_name_Hall '-C 2c 2'
loop_
_atom_site_label
_atom_site_fract_x
_atom_site_fract_y
_atom_site_fract_z
Li1 0.0000 0.2225 0.2500
Ta1 0.0000 0.0000 0.0000
Cu1 0.0000 0.4699 0.7500
Se1 0.0000 0.0971 0.7500
Se2 0.0000 0.3570 0.5576
```

=====

5.
Material: TePtPbO
Method: DFT, PBE
State: relaxed

Total DFT energy (no corrections), eV/atom: -4.858
Crystal system: orthorhombic
Total magnetization, μB per cell: 0.0
Energy relative to the lowest polymorph listed for this composition, kcal/mol of atoms: 5.31

```
data_TePtPbO
_chemical_formula_sum 'Te4 Pt4 Pb4 O4'
_cell_length_a 6.4885
_cell_length_b 8.7713
_cell_length_c 6.2623
_cell_angle_alpha 90.00
_cell_angle_beta 90.00
_cell_angle_gamma 90.00
_space_group_name_H-M_alt 'P c a 21'
_space_group_IT_number 29
loop_
_space_group_symop_operation_xyz
'x,y,z'
'-x,-y,z+1/2'
'-x+1/2,y,z+1/2'
'x+1/2,-y,z'
loop_
_atom_site_label
_atom_site_fract_x
_atom_site_fract_y
_atom_site_fract_z
Te1 0.1511 0.0135 0.0000
Pt1 0.1449 0.2216 0.3010
Pb1 0.0642 0.6389 0.2282
O1 0.0598 0.5923 0.8422
```

=====

6.
Material: SrFeS3
Method: DFT, PBE
State: relaxed

Total DFT energy (no corrections), eV/atom: -5.309
Crystal system: orthorhombic
Total magnetization, μB per cell: 13.5
Energy relative to the lowest polymorph listed for this composition, kcal/mol of atoms: 1.58

```
data_SrFeS3
_chemical_formula_sum 'Sr4 Fe4 S12'
_cell_length_a 6.2733
_cell_length_b 9.1501
_cell_length_c 6.8979
_cell_angle_alpha 90.00
_cell_angle_beta 90.00
_cell_angle_gamma 90.00
_space_group_name_H-M_alt 'I m m a'
_space_group_IT_number 74
_space_group_name_Hall '-I 2b 2'
loop_
_atom_site_label
_atom_site_fract_x
_atom_site_fract_y
_atom_site_fract_z
Sr1 0.0000 0.2500 0.0032
Fe1 0.0000 0.0000 0.5000
S1 0.0000 0.2500 0.4265
S2 0.2500 0.0398 0.7500
```

=====

Copy entry 5 word for word.
Material: TePtPbO
Method: DFT, PBE
State: relaxed

Total DFT energy (no corrections), eV/atom: -4.858
Crystal system: orthorhombic
Total magnetization, μB per cell: 0.0
Energy relative to the lowest polymorph listed for this composition, kcal/mol of atoms: 5.31

```
data_TePtPbO
_chemical_formula_sum 'Te4 Pt4 Pb4 O4'
_cell_length_a 6.4885
_cell_length_b 8.7713
_cell_length_c 6.2623
_cell_angle_alpha 90.00
_cell_angle_beta 90.00
_cell_angle_gamma 90.00
_space_group_name_H-M_alt 'P c a 21'
_space_group_IT_number 29
loop_
_space_group_symop_operation_xyz
'x,y,z'
'-x,-y,z+1/2'
'-x+1/2,y,z+1/2'
'x+1/2,-y,z'
loop_
_atom_site_label
_atom_site_fract_x
_atom_site_fract_y
_atom_site_fract_z
Te1 0.1511 0.0135 0.0000
Pt1 0.1449 0.2216 0.3010
Pb1 0.0642 0.6389 0.2282
O1 0.0598 0.5923 0.8422
```

=====

Q: What is the formula in the first record?
A: HoZnGaNi